A geometry-optimized Rb3Br2O8 structure, computed with PBE.

V: 769 Å³ per cell
crystal system: trigonal
total magnetic moment: 1.7 μB per cell
density of states at the Fermi level: 13.60 states/eV per cell
uncorrected formation energy: -0.50 eV/atom

```
data_Rb3Br2O8
_space_group_name_H-M_alt 'R -3 m'
_space_group_IT_number 166
_space_group_name_Hall '-R 3 2"'
_cell_length_a 6.1834
_cell_length_b 6.1834
_cell_length_c 23.2175
_cell_angle_alpha 90.00
_cell_angle_beta 90.00
_cell_angle_gamma 120.00
loop_
_atom_site_label
_atom_site_fract_x
_atom_site_fract_y
_atom_site_fract_z
Rb1 0.0000 0.0000 0.0000
Rb2 0.0000 0.0000 0.2068
Br1 0.0000 0.0000 0.4079
O1 0.0000 0.0000 0.3352
O2 0.0282 0.5141 0.2352
```